VASP calculation (GGA-PBE) on crystalline Li6Sn2Bi at its relaxed geometry.

a b c (Å): 3.134 8.084 8.740
angles (deg): 117.55 112.51 90.00
Atoms (fractional coordinates):
Li: 0.836 0.339 0.339
Li: 0.500 0.339 0.000
Li: 0.836 0.000 0.339
Li: 0.164 0.661 0.661
Li: 0.500 0.661 0.000
Li: 0.164 0.000 0.661
Sn: 0.334 0.667 0.334
Sn: 0.666 0.333 0.666
Bi: 0.000 0.000 0.000

**Energy of formation**: -8.56 kcal/mol of atoms
**Energy**: -2.97 eV per atom
**Space-group type**: C2/m
**Energy relative to the lowest polymorph listed for this composition**: 4 meV/atom
**Mass density**: 4577 kg/m³
**Fermi-level density of states**: 2.51 states/eV per cell